Entry 1:
This record from Alexandria describes a relaxed structure of La8Ir3RhAu4. The functional is PBE-GGA.

Cell: 8.4844 8.4844 21.7428 Å, 90.00 90.00 120.00°
Space group R-3m (No. 166, hexagonal axes)
Symmetry-distinct sites (fractional):
La (0.0000, 0.0000, 0.2391) (multiplicity 6)
La (0.0014, 0.5007, 0.7608) (multiplicity 18)
Ir (0.0000, 0.5000, 0.5000) (multiplicity 9)
Rh (0.0000, 0.0000, 0.5000) (multiplicity 3)
Au (0.0000, 0.0000, 0.0000) (multiplicity 3)
Au (0.0000, 0.5000, 0.0000) (multiplicity 9)

Output
- Energy of formation: -0.789 eV per atom

Entry 2:
This record from Alexandria describes a relaxed structure of Ac4SiGe2. The functional is PBE-GGA.

Cell: 5.730 5.730 16.643 Å, 90.00 90.00 90.00°
Space group I4/mmm (No. 139)
Symmetry-distinct sites (fractional):
Ac (0.000, 0.000, 0.187) (multiplicity 4)
Ac (0.000, 0.500, 0.000) (multiplicity 4)
Si (0.000, 0.000, 0.000) (multiplicity 2)
Ge (0.000, 0.000, 0.376) (multiplicity 4)

Entry 3:
This record from Alexandria describes a relaxed structure of CdIr2Os2. The functional is PBE-GGA.

Cell: 7.656 7.656 2.768 Å, 90.00 90.00 90.00°
Space group P4/mbm (No. 127)
Symmetry-distinct sites (fractional):
Cd (0.000, 0.000, 0.000) (multiplicity 2)
Ir (0.123, 0.377, 0.000) (multiplicity 4)
Os (0.172, 0.672, 0.500) (multiplicity 4)

Output
- Energy of formation: 0.378 eV per atom

Entry 4:
This record from Alexandria describes a relaxed structure of Th2ZnHg. The functional is PBE-GGA.

Cell: 6.446 4.668 7.364 Å, 90.00 106.71 90.00°
Space group P2_1/m (No. 11)
Symmetry-distinct sites (fractional):
Th (0.168, 0.250, 0.420) (multiplicity 2)
Th (0.182, 0.250, 0.917) (multiplicity 2)
Zn (0.360, 0.750, 0.711) (multiplicity 2)
Hg (0.372, 0.750, 0.223) (multiplicity 2)

Output
- Energy of formation: -0.170 eV per atom

Entry 5:
This record from Alexandria describes a relaxed structure of Y2Th5Sc5. The functional is PBE-GGA.

Cell: 14.656 4.843 10.971 Å, 90.00 116.62 90.00°
Space group C2/m (No. 12)
Symmetry-distinct sites (fractional):
Y (0.081, 0.000, 0.252) (multiplicity 4)
Th (0.000, 0.000, 0.500) (multiplicity 2)
Th (0.167, 0.000, 0.001) (multiplicity 4)
Th (0.249, 0.000, 0.748) (multiplicity 4)
Sc (0.000, 0.500, 0.000) (multiplicity 2)
Sc (0.084, 0.500, 0.746) (multiplicity 4)
Sc (0.168, 0.500, 0.504) (multiplicity 4)

Output
- Energy of formation: 0.048 eV per atom

Entry 6:
This record from Alexandria describes a relaxed structure of Sm10DyHo6. The functional is PBE-GGA.

Cell: 9.7489 9.7489 6.8558 Å, 90.00 90.00 120.00°
Space group P-31m (No. 162)
Symmetry-distinct sites (fractional):
Sm (0.0000, 0.2744, 0.1851) (multiplicity 6)
Sm (0.3333, 0.6667, 0.0000) (multiplicity 2)
Sm (0.3333, 0.6667, 0.5000) (multiplicity 2)
Dy (0.0000, 0.0000, 0.5000) (multiplicity 1)
Ho (0.0000, 0.3730, 0.6940) (multiplicity 6)

Output
- Energy of formation: 0.127 eV per atom

Number 1: volume 1355.52 Å³/cell, DFT total energy -99.085 eV per formula unit. Number 2: volume 546.43 Å³/cell, DFT total energy -32.620 eV per formula unit. Number 3: volume 162.21 Å³/cell, DFT total energy -39.204 eV per formula unit. Number 4: volume 212.24 Å³/cell, DFT total energy -17.095 eV per formula unit. Number 5: volume 696.17 Å³/cell, DFT total energy -81.107 eV per formula unit. Number 6: volume 564.29 Å³/cell, DFT total energy -77.098 eV per formula unit.